FeRuF2: relaxed, GGA+U.

## Properties
**Energy**: -78.35 eV/cell
**Total magnetic moment**: 25.6 Bohr magnetons per cell
**Offset from the most stable computed form**: 243.3 meV/atom

Lattice parameters (Å, degrees): 5.871 5.871 5.871 90.00 90.00 90.00
Space group Fm-3m (No. 225)
Inequivalent atoms, fractional coordinates:
Fe  0.000  0.000  0.000 (multiplicity 4)
Ru  0.000  0.000  0.500 (multiplicity 4)
F  0.250  0.250  0.250 (multiplicity 8)